## CsRb2SrTe (PBE)

Data for CsRb2SrTe after structural relaxation.

POSCAR file:
```
CsRb2SrTe
1.0
7.368 0.000 0.000
0.000 6.812 0.000
0.000 0.000 7.368
Te Cs Sr Rb
1 1 1 2
Cartesian
0.000 3.406 0.000 Te
0.000 0.000 0.000 Cs
3.684 3.406 3.684 Sr
0.000 0.000 3.684 Rb
3.684 0.000 0.000 Rb
```

Calculated values
DFT total energy (eV/cell): -7.34
SG: P4/mmm (123)
E_form (uncorrected) (eV/atom): 0.05
N(E_F) (states/eV/atom): 0.81



## Cs2RbSrTl (PBE)

Data for Cs2RbSrTl after structural relaxation.

POSCAR file:
```
Cs2RbSrTl
1.0
7.586 0.000 0.000
0.000 7.586 0.000
0.000 0.000 6.759
Rb Tl Cs Sr
1 1 2 1
Cartesian
3.793 3.793 3.379 Rb
0.000 0.000 0.000 Tl
3.793 0.000 0.000 Cs
0.000 3.793 0.000 Cs
0.000 0.000 3.379 Sr
```

Calculated values
DFT total energy (eV/cell): -6.42
SG: P4/mmm (123)
Formation energy from the elements (eV per atom): 0.061
N(E_F) (states/eV/atom): 1.40



## CsRbSr2Tl (PBE)

Data for CsRbSr2Tl after structural relaxation.

POSCAR file:
```
CsRbSr2Tl
1.0
-4.494 -2.687 -4.073
4.293 0.455 -5.037
2.611 -6.807 1.611
Tl Cs Sr Rb
1 1 2 1
Cartesian
0.000 0.000 0.000 Tl
1.205 -4.520 -3.750 Cs
2.147 0.227 -2.519 Sr
-2.247 -1.344 -2.036 Sr
1.305 -3.404 0.805 Rb
```

Calculated values
DFT total energy (eV/cell): -7.52
SG: P4/mmm (123)
Formation energy from the elements (eV per atom): 0.006
N(E_F) (states/eV/atom): 1.54



## CsRb2SrTl (PBE)

Data for CsRb2SrTl after structural relaxation.

POSCAR file:
```
CsRb2SrTl
1.0
-3.783 0.292 -6.394
-5.742 -3.437 3.240
-2.516 5.859 1.756
Cs Rb Sr Tl
1 2 1 1
Cartesian
-6.020 1.357 -0.699 Cs
-2.871 -1.718 1.620 Rb
-1.891 0.146 -3.197 Rb
-1.258 2.929 0.878 Sr
0.000 0.000 0.000 Tl
```

Calculated values
DFT total energy (eV/cell): -6.66
SG: P4/mmm (123)
Formation energy from the elements (eV per atom): 0.036
N(E_F) (states/eV/atom): 1.20



## CsRbSr2Zn (PBE)

Data for CsRbSr2Zn after structural relaxation.

POSCAR file:
```
CsRbSr2Zn
1.0
6.446 0.000 0.000
0.000 6.446 0.000
0.000 0.000 7.351
Sr Rb Cs Zn
2 1 1 1
Cartesian
3.223 0.000 0.000 Sr
0.000 3.223 0.000 Sr
0.000 0.000 3.675 Rb
3.223 3.223 3.675 Cs
0.000 0.000 0.000 Zn
```

Calculated values
DFT total energy (eV/cell): -6.00
SG: P4/mmm (123)
Polymorph energy (0 for the lowest one) (meV per atom): 0
Formation energy from the elements (eV per atom): 0.092
N(E_F) (states/eV/atom): 0.98



## CsRbSr2Zn (PBE)

Data for CsRbSr2Zn after structural relaxation.

POSCAR file:
```
CsRbSr2Zn
1.0
6.465 0.000 0.000
0.000 6.465 0.000
0.000 0.000 7.377
Sr Rb Zn Cs
2 1 1 1
Cartesian
3.232 0.000 0.000 Sr
0.000 3.232 0.000 Sr
3.232 3.232 3.688 Rb
0.000 0.000 0.000 Zn
0.000 0.000 3.688 Cs
```

Calculated values
DFT total energy (eV/cell): -5.98
SG: P4/mmm (123)
Polymorph energy (0 for the lowest one) (meV per atom): 4
Formation energy from the elements (eV per atom): 0.096
N(E_F) (states/eV/atom): 0.81



## Cs2RbTa (PBE)

Data for Cs2RbTa after structural relaxation.

POSCAR file:
```
Cs2RbTa
1.0
0.000 4.707 4.707
4.707 0.000 4.707
4.707 4.707 0.000
Cs Ta Rb
2 1 1
Cartesian
2.353 2.353 2.353 Cs
7.060 7.060 7.060 Cs
4.707 4.707 4.707 Ta
0.000 0.000 0.000 Rb
```

Calculated values
DFT total energy (eV/cell): -8.72
SG: Fm-3m (225)
Formation energy from the elements (eV per atom): 1.452
N(E_F) (states/eV/atom): 1.26



## CsRb3Ta (PBE)

Data for CsRb3Ta after structural relaxation.

POSCAR file:
```
CsRb3Ta
1.0
-2.708 6.861 -1.514
-2.899 0.387 6.939
6.401 3.078 2.502
Cs Rb Ta
1 3 1
Cartesian
0.000 0.000 0.000 Cs
-1.449 0.194 3.470 Rb
-1.354 3.431 -0.757 Rb
3.200 1.539 1.251 Rb
0.397 5.163 3.964 Ta
```

Calculated values
DFT total energy (eV/cell): -7.03
SG: Pm-3m (221)
Formation energy from the elements (eV per atom): 1.715
N(E_F) (states/eV/atom): 0.16



## CsRbTa2 (PBE)

Data for CsRbTa2 after structural relaxation.

POSCAR file:
```
CsRbTa2
1.0
-4.937 -2.251 0.126
-3.414 1.173 4.053
-4.395 3.041 -0.948
Rb Cs Ta
1 1 2
Cartesian
0.000 0.000 0.000 Rb
-6.373 0.981 1.616 Cs
-9.559 1.472 2.424 Ta
-3.186 0.491 0.808 Ta
```

Calculated values
DFT total energy (eV/cell): -14.14
SG: Fm-3m (225)
Formation energy from the elements (eV per atom): 2.846
N(E_F) (states/eV/atom): 1.23



## CsRbTaTe4 (PBE)

Data for CsRbTaTe4 after structural relaxation.

POSCAR file:
```
CsRbTaTe4
1.0
7.702 0.000 -0.163
0.000 7.128 0.000
-3.267 0.000 11.772
Te Rb Cs Ta
8 2 2 2
Cartesian
-2.139 7.002 9.130 Te
1.629 1.782 9.530 Te
2.806 5.346 2.079 Te
3.548 1.782 5.643 Te
0.887 5.346 5.967 Te
6.573 0.126 2.479 Te
6.573 3.438 2.479 Te
-2.139 3.690 9.130 Te
4.618 5.346 5.398 Rb
-0.183 1.782 6.212 Rb
2.355 5.346 10.817 Cs
2.080 1.782 0.792 Cs
0.549 5.346 3.393 Ta
3.885 1.782 8.216 Ta
```

Calculated values
DFT total energy (eV/cell): -61.10
SG: P2_1/m (11)
E_form (uncorrected) (eV/atom): -0.62
N(E_F) (states/eV/atom): 0.30



## Cs2RbTaW (PBE)

Data for Cs2RbTaW after structural relaxation.

POSCAR file:
```
Cs2RbTaW
1.0
-5.897 4.033 -1.568
-2.175 -3.875 -1.790
-2.775 -1.492 6.601
Cs Rb Ta W
2 1 1 1
Cartesian
-1.388 -0.746 3.300 Cs
-2.948 2.017 -0.784 Cs
-5.423 -0.667 1.621 Rb
0.000 0.000 0.000 Ta
-1.087 -1.938 -0.895 W
```

Calculated values
DFT total energy (eV/cell): -19.66
SG: P4/mmm (123)
Formation energy from the elements (eV per atom): 1.565
N(E_F) (states/eV/atom): 0.66



## Cs2RbTc (PBE)

Data for Cs2RbTc after structural relaxation.

POSCAR file:
```
Cs2RbTc
1.0
-6.041 -3.191 -0.362
-0.350 -6.773 0.902
-2.865 -2.553 5.664
Cs Tc Rb
2 1 1
Cartesian
-6.942 -9.388 4.653 Cs
-2.314 -3.129 1.551 Cs
-4.628 -6.258 3.102 Tc
0.000 0.000 0.000 Rb
```

Calculated values
DFT total energy (eV/cell): -8.07
SG: Fm-3m (225)
Polymorph energy (0 for the lowest one) (meV per atom): 0
Formation energy from the elements (eV per atom): 1.242
N(E_F) (states/eV/atom): 2.17



## CsRb2Tc (PBE)

Data for CsRb2Tc after structural relaxation.

POSCAR file:
```
CsRb2Tc
1.0
0.000 4.762 4.762
4.762 0.000 4.762
4.762 4.762 0.000
Rb Cs Tc
2 1 1
Cartesian
7.144 7.144 7.144 Rb
2.381 2.381 2.381 Rb
4.762 4.762 4.762 Cs
0.000 0.000 0.000 Tc
```

Calculated values
DFT total energy (eV/cell): -8.14
SG: Fm-3m (225)
Formation energy from the elements (eV per atom): 1.253
N(E_F) (states/eV/atom): 2.44



## Cs2RbTc (PBE)

Data for Cs2RbTc after structural relaxation.

POSCAR file:
```
Cs2RbTc
1.0
2.829 -3.869 7.824
-2.578 3.540 8.063
-5.967 -4.526 5.300
Cs Tc Rb
4 2 2
Cartesian
-3.572 -3.035 13.241 Cs
-0.589 -0.772 10.591 Cs
-2.283 -4.805 9.210 Cs
-4.987 -1.100 9.329 Cs
-4.287 -3.642 15.889 Tc
-2.858 -2.428 10.593 Tc
-1.429 -1.214 5.296 Rb
0.000 0.000 0.000 Rb
```

Calculated values
DFT total energy (eV/cell): -14.86
SG: Fd-3m (227)
Polymorph energy (0 for the lowest one) (meV per atom): 160
Formation energy from the elements (eV per atom): 1.402
N(E_F) (states/eV/atom): 1.31



## Cs2RbTe6 (PBE)

Data for Cs2RbTe6 after structural relaxation.

POSCAR file:
```
Cs2RbTe6
1.0
5.595 0.608 0.488
3.966 10.040 0.700
3.966 2.862 9.648
Cs Te Rb
2 6 1
Cartesian
9.812 8.959 7.186 Cs
4.323 4.617 3.703 Cs
7.065 8.072 3.849 Te
7.265 7.045 9.505 Te
6.868 6.537 1.386 Te
6.868 2.772 6.081 Te
7.065 5.509 7.044 Te
7.265 10.807 4.815 Te
11.106 13.233 10.614 Rb
```

Calculated values
DFT total energy (eV/cell): -26.53
SG: Cm (8)
Polymorph energy (0 for the lowest one) (meV per atom): 46
E_form (uncorrected) (eV/atom): -0.56
N(E_F) (states/eV/atom): 0.36



## Cs2RbTe6 (PBE)

Data for Cs2RbTe6 after structural relaxation.

POSCAR file:
```
Cs2RbTe6
1.0
4.488 0.009 1.204
1.743 9.017 2.430
-0.116 -1.120 9.433
Cs Te Rb
2 6 1
Cartesian
3.316 2.661 4.732 Cs
2.800 5.244 8.335 Cs
0.640 0.070 5.876 Te
3.539 6.577 4.720 Te
1.580 5.196 2.336 Te
4.535 2.709 10.731 Te
2.576 1.328 8.347 Te
5.475 7.835 7.190 Te
0.000 0.000 0.000 Rb
```

Calculated values
DFT total energy (eV/cell): -26.94
SG: C2/m (12)
Polymorph energy (0 for the lowest one) (meV per atom): 0
E_form (uncorrected) (eV/atom): -0.60
N(E_F) (states/eV/atom): 0.37



## Cs3RbTe2 (PBE)

Data for Cs3RbTe2 after structural relaxation.

POSCAR file:
```
Cs3RbTe2
1.0
-6.477 4.133 2.871
-4.839 -4.032 -5.113
4.265 -6.901 7.841
Cs Te Rb
6 4 2
Cartesian
-4.474 -3.555 0.601 Cs
-1.602 -7.426 0.936 Cs
-2.577 -3.244 4.997 Cs
-4.448 1.059 0.157 Cs
-6.868 -0.957 -2.399 Cs
-5.449 0.627 4.662 Cs
-5.172 -6.119 3.284 Te
-7.694 -0.529 1.263 Te
-1.879 -0.680 2.315 Te
0.643 -6.270 4.336 Te
-1.210 -1.008 -1.278 Rb
-3.629 -3.024 -3.835 Rb
```

Calculated values
DFT total energy (eV/cell): -31.53
SG: Ibam (72)
E_form (uncorrected) (eV/atom): -0.99
N(E_F) (states/eV/atom): 0.00



## Cs2RbTe4 (PBE)

Data for Cs2RbTe4 after structural relaxation.

POSCAR file:
```
Cs2RbTe4
1.0
10.068 -0.526 -2.186
-0.156 6.643 -2.315
-2.662 -0.068 10.678
Te Cs Rb
8 4 2
Cartesian
6.629 5.209 -2.395 Te
3.619 0.159 2.912 Te
3.632 5.890 3.264 Te
5.566 4.431 6.136 Te
1.685 1.619 0.041 Te
-1.363 4.477 4.942 Te
8.614 1.572 1.235 Te
0.622 0.840 8.572 Te
7.182 0.795 4.718 Cs
0.069 5.254 1.458 Cs
5.145 3.177 0.997 Cs
2.106 2.872 5.179 Cs
7.508 1.446 -2.281 Rb
2.405 4.671 -2.220 Rb
```

Calculated values
DFT total energy (eV/cell): -40.43
SG: C2/c (15)
E_form (uncorrected) (eV/atom): -0.71
N(E_F) (states/eV/atom): 0.81



## CsRb2Te2 (PBE)

Data for CsRb2Te2 after structural relaxation.

POSCAR file:
```
CsRb2Te2
1.0
-2.767 -4.781 -1.926
4.977 -2.322 -1.386
-1.480 -5.063 14.696
Rb Cs Te
4 2 4
Cartesian
2.686 -7.882 11.266 Rb
-0.188 -4.297 6.496 Rb
-1.956 -4.284 0.118 Rb
0.918 -7.869 4.888 Rb
-1.362 -8.070 8.663 Cs
2.092 -4.096 2.721 Cs
-1.718 -5.784 3.499 Te
1.823 -2.549 -0.733 Te
-1.093 -9.617 12.117 Te
2.448 -6.382 7.885 Te
```

Calculated values
DFT total energy (eV/cell): -27.23
SG: P2_1/m (11)
Polymorph energy (0 for the lowest one) (meV per atom): 0
E_form (uncorrected) (eV/atom): -0.91
N(E_F) (states/eV/atom): 0.23



## CsRbTe4 (PBE)

Data for CsRbTe4 after structural relaxation.

POSCAR file:
```
CsRbTe4
1.0
-3.642 -1.883 2.659
-3.648 -5.467 -4.377
2.664 -6.562 3.492
Te Rb Cs
4 1 1
Cartesian
-0.309 -3.546 1.557 Te
-2.048 -3.244 -0.612 Te
-4.318 -10.366 0.218 Te
-2.578 -10.668 2.386 Te
0.000 0.000 0.000 Rb
-2.313 -6.956 0.887 Cs
```

Calculated values
DFT total energy (eV/cell): -17.66
SG: Immm (71)
Polymorph energy (0 for the lowest one) (meV per atom): 56
E_form (uncorrected) (eV/atom): -0.55
N(E_F) (states/eV/atom): 0.76